Material: PmHoWO6
Method: DFT, GGA+U
State: optimized geometry

Lattice parameters (Å, degrees): 5.5583 5.5583 9.7787 90.00 90.00 120.00
With the nearest neighbours (Å) after each atom.
Fractional coordinates of all 18 atoms:
O1 0.3352 0.9606 0.6383  1 W 1.96
Pm1 0.0000 0.0000 0.0000  6 O 2.40
O2 0.3746 0.3352 0.3617  1 W 1.96
Ho1 0.6667 0.3333 0.7500  6 O 2.25
O3 0.0394 0.3746 0.6383  1 W 1.96
W1 0.6667 0.3333 0.2500  6 O 1.96
O4 0.9606 0.6254 0.3617  1 W 1.96
O5 0.6648 0.0394 0.3617  1 W 1.96
O6 0.6648 0.6254 0.1383  1 W 1.96
Ho2 0.3333 0.6667 0.2500  6 O 2.25
O7 0.6254 0.6648 0.6383  1 W 1.96
O8 0.0394 0.6648 0.8617  1 W 1.96
O9 0.3352 0.3746 0.8617  1 W 1.96
Pm2 0.0000 0.0000 0.5000  6 O 2.40
O10 0.6254 0.9606 0.8617  1 W 1.96
O11 0.3746 0.0394 0.1383  1 W 1.96
O12 0.9606 0.3352 0.1383  1 W 1.96
W2 0.3333 0.6667 0.7500  6 O 1.96

**SG**: P-31c, No. 163
**E**: -144.781 eV for the cell shown
**N(E_F)**: 0.000 states/eV per atom